This record from Alexandria describes a geometry-optimized Sm4CoBr2N structure. The functional is GGA-PBE.

The structure belongs to space group P2/m (No. 10); the cell edges are 6.853, 3.737 and 7.848 Å and the angles 90.00°, 107.32° and 90.00°. The inequivalent atoms are Sm at (0.207, 0.000, 0.180), Sm at (0.266, 0.500, 0.814), Co at (0.500, 0.000, 0.000), Br at (0.000, 0.000, 0.500), Br at (0.500, 0.500, 0.500) and N at (0.000, 0.500, 0.000).

Its uncorrected formation energy is -1.011 eV per atom. For the density of states at the Fermi level, the calculation gives 4.82 states/eV/f.u. For the volume, the calculation gives 24.0 Å³ per atom.